1.
The following is a PBE-GGA calculation of an optimized crystal structure of PmPrZnPt, from the Alexandria database.

Structure (CIF):
```
data_PmPrZnPt
_cell_length_a 5.156
_cell_length_b 5.156
_cell_length_c 5.156
_cell_angle_alpha 60.00
_cell_angle_beta 60.00
_cell_angle_gamma 60.00
_symmetry_space_group_name_H-M 'P 1'
_symmetry_Int_Tables_number 1
loop_
_symmetry_equiv_pos_as_xyz
'x,y,z'
loop_
_atom_site_label
_atom_site_fract_x
_atom_site_fract_y
_atom_site_fract_z
Pm1 0.000 0.000 0.000
Pr1 0.500 0.500 0.500
Zn1 0.250 0.250 0.250
Pt1 0.750 0.750 0.750
```

Summary:
Formation energy from the elements (meV per atom): -662
Magnetic moment (μB per formula unit): 0.0
E (eV per atom): -4.873
Excess energy over the best structure of this formula in the dataset (eV per atom): 0.060
Density of states at the Fermi level (states/eV/atom): 0.7990
Space group: No. 216


2.
The following is a PBE-GGA calculation of an optimized crystal structure of PmPrPu, from the Alexandria database.

Structure (CIF):
```
data_PmPrPu
_cell_length_a 6.449
_cell_length_b 6.449
_cell_length_c 9.045
_cell_angle_alpha 111.31
_cell_angle_beta 111.31
_cell_angle_gamma 31.44
_symmetry_space_group_name_H-M 'P 1'
_symmetry_Int_Tables_number 1
loop_
_symmetry_equiv_pos_as_xyz
'x,y,z'
loop_
_atom_site_label
_atom_site_fract_x
_atom_site_fract_y
_atom_site_fract_z
Pm1 0.159 0.159 0.108
Pm2 0.841 0.841 0.892
Pr1 0.471 0.471 0.274
Pr2 0.529 0.529 0.726
Pu1 0.294 0.294 0.466
Pu2 0.706 0.706 0.534
```

Summary:
Formation energy from the elements (meV per atom): 356
Magnetic moment (μB per formula unit): 0.0
E (eV per atom): -7.598
Excess energy over the best structure of this formula in the dataset (eV per atom): 0.221
Density of states at the Fermi level (states/eV/atom): 1.7142
Space group: No. 12


3.
The following is a PBE-GGA calculation of an optimized crystal structure of PmPrPu, from the Alexandria database.

Structure (CIF):
```
data_PmPrPu
_cell_length_a 5.780
_cell_length_b 5.780
_cell_length_c 3.366
_cell_angle_alpha 90.00
_cell_angle_beta 90.00
_cell_angle_gamma 120.00
_symmetry_space_group_name_H-M 'P 1'
_symmetry_Int_Tables_number 1
loop_
_symmetry_equiv_pos_as_xyz
'x,y,z'
loop_
_atom_site_label
_atom_site_fract_x
_atom_site_fract_y
_atom_site_fract_z
Pm1 0.000 0.000 0.000
Pr1 0.333 0.667 0.000
Pu1 0.667 0.333 0.500
```

Summary:
Formation energy from the elements (meV per atom): 249
Magnetic moment (μB per formula unit): 5.6
E (eV per atom): -7.705
Excess energy over the best structure of this formula in the dataset (eV per atom): 0.115
Density of states at the Fermi level (states/eV/atom): 3.5281
Space group: No. 187


4.
The following is a PBE-GGA calculation of an optimized crystal structure of Pm2Pr6Pu, from the Alexandria database.

Structure (CIF):
```
data_Pm2Pr6Pu
_cell_length_a 11.236
_cell_length_b 11.236
_cell_length_c 6.733
_cell_angle_alpha 107.37
_cell_angle_beta 107.37
_cell_angle_gamma 50.94
_symmetry_space_group_name_H-M 'P 1'
_symmetry_Int_Tables_number 1
loop_
_symmetry_equiv_pos_as_xyz
'x,y,z'
loop_
_atom_site_label
_atom_site_fract_x
_atom_site_fract_y
_atom_site_fract_z
Pm1 0.019 0.374 0.196
Pm2 0.374 0.019 0.696
Pm3 0.626 0.981 0.304
Pm4 0.981 0.626 0.804
Pr1 0.026 0.700 0.362
Pr2 0.288 0.657 0.973
Pr3 0.300 0.974 0.138
Pr4 0.334 0.334 0.084
Pr5 0.334 0.334 0.584
Pr6 0.343 0.712 0.527
Pr7 0.657 0.288 0.473
Pr8 0.666 0.666 0.416
Pr9 0.666 0.666 0.916
Pr10 0.700 0.026 0.862
Pr11 0.712 0.343 0.027
Pr12 0.974 0.300 0.638
Pu1 0.000 0.000 0.250
Pu2 0.000 0.000 0.750
```

Summary:
Formation energy from the elements (meV per atom): 114
Magnetic moment (μB per formula unit): 6.0
E (eV per atom): -5.720
Density of states at the Fermi level (states/eV/atom): 1.8878
Space group: No. 15